[1]
{"formula": "ReTc2Rh", "functional": "PBE-GGA", "state": "optimized geometry", "spacegroup": "P4/mmm (123)", "polymorph_energy_ev_per_fu": 0.000, "formation_energy_ev_per_atom": -0.04, "total_energy_ev_per_cell": -40.7, "mass_density_g_cm3": 13.878, "cell": [[3.873, 0.000, 0.000], [0.000, 3.873, 0.000], [0.000, 0.000, 3.870]], "species": ["Re", "Tc", "Tc", "Rh"], "fractional_positions": [[0.000, 0.000, 0.000], [0.000, 0.500, 0.500], [0.500, 0.000, 0.500], [0.500, 0.500, 0.000]]}

***

[2]
{"formula": "Re2TcRh", "functional": "PBE-GGA", "state": "optimized geometry", "spacegroup": "Cmmm (65)", "polymorph_energy_ev_per_fu": 0.116, "formation_energy_ev_per_atom": -0.01, "total_energy_ev_per_cell": -42.7, "mass_density_g_cm3": 16.250, "cell": [[2.744, -3.922, 0.000], [2.744, 3.922, 0.000], [0.000, 0.000, 2.722]], "species": ["Re", "Re", "Tc", "Rh"], "fractional_positions": [[0.000, 0.500, 0.000], [0.500, 0.000, 0.000], [0.000, 0.000, 0.500], [0.500, 0.500, 0.500]]}

***

[3]
{"formula": "Re2Tc2Rh", "functional": "PBE-GGA", "state": "optimized geometry", "spacegroup": "I4/mmm (139)", "polymorph_energy_ev_per_fu": 3.188, "formation_energy_ev_per_atom": 0.65, "total_energy_ev_per_cell": -49.7, "mass_density_g_cm3": 13.186, "cell": [[-1.928, 1.928, 5.684], [1.928, -1.928, 5.684], [1.928, 1.928, -5.684]], "species": ["Re", "Re", "Tc", "Tc", "Rh"], "fractional_positions": [[0.250, 0.750, 0.500], [0.750, 0.250, 0.500], [0.105, 0.105, 0.000], [0.895, 0.895, 0.000], [0.500, 0.500, 0.000]]}

***

[4]
{"formula": "Re2TcRh", "functional": "PBE-GGA", "state": "optimized geometry", "spacegroup": "I4/mmm (139)", "polymorph_energy_ev_per_fu": 0.017, "formation_energy_ev_per_atom": -0.04, "total_energy_ev_per_cell": -42.8, "mass_density_g_cm3": 16.271, "cell": [[-1.947, 1.947, 3.859], [1.947, -1.947, 3.859], [1.947, 1.947, -3.859]], "species": ["Re", "Re", "Tc", "Rh"], "fractional_positions": [[0.250, 0.750, 0.500], [0.750, 0.250, 0.500], [0.000, 0.000, 0.000], [0.500, 0.500, 0.000]]}